The following is a DFT calculation (PBE) of Tl2P3Se after structural relaxation.

Summary:
Its formation energy without anion corrections is 0.294 eV/atom.

```
Tl2P3Se
1.0
5.4809 0.0000 0.0000
-2.7168 6.5970 0.0000
-2.2405 -1.8979 10.9176
Tl P Se
4 6 2
direct
0.1210 0.2893 0.4530 Tl
0.3373 0.8414 0.2800 Tl
0.6627 0.1586 0.7200 Tl
0.8790 0.7107 0.5470 Tl
0.1820 0.2158 0.7037 P
0.1943 0.5852 0.0222 P
0.4087 0.7221 0.6068 P
0.5913 0.2779 0.3932 P
0.8057 0.4148 0.9778 P
0.8180 0.7842 0.2963 P
0.4071 0.5628 0.7753 Se
0.5929 0.4372 0.2247 Se
```